MgSiAs4 (PBE-GGA, optimized geometry); spin magnetization = 0.00 μB/atom; DOS(E_F) = 0.46 states/eV/atom; space group = F-43m, No. 216
1.0
0.000 3.933 3.933
3.933 0.000 3.933
3.933 3.933 0.000
Mg Si As
1 1 4
Direct
0.000 0.000 0.000
0.750 0.750 0.750
0.375 0.375 0.375
0.375 0.375 0.874
0.375 0.874 0.375
0.874 0.375 0.375

***

Na3Dy2InSe6 (PBE-GGA, optimized geometry); spin magnetization = 0.00 μB/atom; space group = C2/m, No. 12
1.0
3.556 -6.161 0.000
3.556 6.161 0.000
-2.367 0.000 7.049
Na Dy In Se
3 2 1 6
Direct
0.000 0.000 0.000
0.334 0.666 0.000
0.666 0.334 0.000
0.167 0.833 0.500
0.833 0.167 0.500
0.500 0.500 0.500
0.097 0.424 0.272
0.249 0.249 0.727
0.424 0.097 0.272
0.576 0.903 0.728
0.751 0.751 0.273
0.903 0.576 0.728

***

AcThSbSe (PBE-GGA, optimized geometry); spin magnetization = 0.00 μB/atom; DOS(E_F) = 0.97 states/eV/atom; space group = P4/nmm, No. 129
1.0
5.060 0.000 0.000
0.000 5.060 0.000
0.000 0.000 10.758
Ac Th Sb Se
2 2 2 2
Direct
0.250 0.250 0.154
0.750 0.750 0.846
0.250 0.750 0.500
0.750 0.250 0.500
0.250 0.250 0.688
0.750 0.750 0.312
0.250 0.750 0.000
0.750 0.250 0.000

***

Energy relative to the elements, uncorrected (eV per atom)
0.4409, -1.3862, -1.0714